<i>
Tl2GaSb: optimized geometry, PBE.

Calculated values
Mass density ... 8.68 g cm⁻³
SG ... No. 166

abc: 3.369 3.369 11.841
angles: 81.82 81.82 60.00
Positions (direct):
Sb (0.500, 0.500, 0.500)
Tl (0.085, 0.085, 0.744)
Tl (0.915, 0.915, 0.256)
Ga (0.000, 0.000, 0.000)

<ii>
Tl2GaSb: optimized geometry, PBE.

Calculated values
Mass density ... 6.84 g cm⁻³
SG ... No. 122

abc: 6.888 6.888 7.842
angles: 63.95 63.95 90.00
Positions (direct):
Sb (0.000, 0.000, 0.000)
Sb (0.750, 0.250, 0.500)
Tl (0.608, 0.125, 0.250)
Tl (0.142, 0.625, 0.250)
Tl (0.375, 0.392, 0.750)
Tl (0.875, 0.858, 0.750)
Ga (0.500, 0.500, 0.000)
Ga (0.250, 0.750, 0.500)

<iii>
Tl2GaSb: optimized geometry, PBE.

Calculated values
Mass density ... 8.87 g cm⁻³
SG ... No. 123

abc: 4.897 4.791 4.791
angles: 90.00 90.00 90.00
Positions (direct):
Sb (0.500, 0.000, 0.000)
Tl (0.000, 0.000, 0.500)
Tl (0.000, 0.500, 0.000)
Ga (0.500, 0.500, 0.500)

Result of the stability comparison: <ii> is the least stable of them.

<i>
Tl2GaSb: optimized geometry, PBE.

Calculated values
Mass density ... 8.79 g cm⁻³
SG ... No. 225

abc: 5.432 5.432 5.432
angles: 60.00 60.00 60.00
Positions (direct):
Sb (0.500, 0.500, 0.500)
Tl (0.250, 0.250, 0.250)
Tl (0.750, 0.750, 0.750)
Ga (0.000, 0.000, 0.000)

<ii>
Tl2GaSb: optimized geometry, PBE.

Calculated values
Mass density ... 8.93 g cm⁻³
SG ... No. 123

abc: 4.013 4.013 6.934
angles: 90.00 90.00 90.00
Positions (direct):
Sb (0.500, 0.500, 0.500)
Tl (0.000, 0.000, 0.753)
Tl (0.000, 0.000, 0.247)
Ga (0.500, 0.500, 0.000)

Result of the stability comparison: <ii> is the least stable of them.

<i>
Tl3GaSb: optimized geometry, PBE.

Calculated values
Mass density ... 6.50 g cm⁻³
SG ... No. 221

abc: 5.901 5.901 5.901
angles: 90.00 90.00 90.00
Positions (direct):
Sb (0.000, 0.000, 0.000)
Tl (0.000, 0.500, 0.000)
Tl (0.000, 0.000, 0.500)
Tl (0.500, 0.000, 0.000)
Ga (0.500, 0.500, 0.500)

<ii>
Tl3GaSb: optimized geometry, PBE.

Calculated values
Mass density ... 8.29 g cm⁻³
SG ... No. 221

abc: 5.442 5.442 5.442
angles: 90.00 90.00 90.00
Positions (direct):
Sb (0.500, 0.500, 0.500)
Tl (0.000, 0.500, 0.000)
Tl (0.000, 0.000, 0.500)
Tl (0.500, 0.000, 0.000)
Ga (0.000, 0.000, 0.000)

Result of the stability comparison: <i> is the least stable of them.